{"formula": "CaInMo2O8", "functional": "GGA+U", "state": "optimized geometry", "cell": [[-2.580, 2.580, 5.734], [2.580, -2.580, 5.734], [2.580, 2.580, -5.734]], "species": ["Ca", "In", "Mo", "Mo", "O", "O", "O", "O", "O", "O", "O", "O"], "fractional_positions": [[0.000, 0.000, 0.000], [0.750, 0.250, 0.500], [0.250, 0.750, 0.500], [0.500, 0.500, 0.000], [0.071, 0.643, 0.053], [0.174, 0.243, 0.588], [0.357, 0.410, 0.428], [0.414, 0.826, 0.069], [0.590, 0.017, 0.947], [0.655, 0.586, 0.412], [0.757, 0.345, 0.931], [0.983, 0.929, 0.572]], "final_energy_ev_per_cell": -80.97, "spacegroup": "No. 82", "m_tot_mub_per_fu": 1.0, "vol_a3_per_cell": 152.6}